# 1
Pr15Dy4Mg | Alexandria | GGA-PBE | relaxed; formation energy from the elements = 0.006 eV/atom; VASP energy = -91.6 eV/f.u.
1.0
5.1652 0.0000 0.0000
0.0000 5.1652 0.0000
0.0000 0.0000 25.9233
Pr Dy Mg
15 4 1
direct
0.0000 0.5000 0.2987
0.5000 0.0000 0.9019
0.0000 0.5000 0.0981
0.5000 0.5000 0.6010
0.0000 0.5000 0.9019
0.5000 0.5000 0.1974
0.5000 0.0000 0.0981
0.5000 0.0000 0.7013
0.5000 0.5000 0.8026
0.0000 0.5000 0.7013
0.5000 0.5000 0.0000
0.5000 0.0000 0.2987
0.0000 0.5000 0.5000
0.5000 0.5000 0.3990
0.5000 0.0000 0.5000
0.0000 0.0000 0.6006
0.0000 0.0000 0.8023
0.0000 0.0000 0.3994
0.0000 0.0000 0.1977
0.0000 0.0000 0.0000


# 2
CaNd2Pb | Alexandria | GGA-PBE | relaxed; formation energy from the elements = -0.234 eV/atom; VASP energy = -16.2 eV/f.u.
1.0
4.3341 0.0000 0.0000
0.0000 4.3341 0.0000
0.0000 0.0000 6.9769
Ca Nd Pb
1 2 1
direct
0.5000 0.5000 0.0000
0.0000 0.0000 0.2751
0.0000 0.0000 0.7249
0.5000 0.5000 0.5000


# 3
PmSmMgTl | Alexandria | GGA-PBE | relaxed; formation energy from the elements = -0.259 eV/atom; VASP energy = -14.5 eV/f.u.
1.0
5.4546 0.0000 0.0000
2.7273 4.7238 0.0000
2.7273 1.5746 4.4537
Sm Pm Tl Mg
1 1 1 1
direct
0.7500 0.7500 0.7500
0.2500 0.2500 0.2500
0.0000 0.0000 0.0000
0.5000 0.5000 0.5000


# 4
Pm8AgPd2 | Alexandria | GGA-PBE | relaxed; formation energy from the elements = -0.319 eV/atom; VASP energy = -54.7 eV/f.u.
1.0
5.2619 0.0000 0.0000
0.0000 6.9024 0.0204
-2.6309 -2.9563 8.7977
Ag Pm Pd
1 8 2
direct
0.5000 0.0000 0.0000
0.4062 0.5235 0.8124
0.2004 0.3423 0.4008
0.0284 0.7809 0.0569
0.5938 0.4765 0.1876
0.9716 0.2191 0.9431
0.3247 0.9947 0.6493
0.6753 0.0053 0.3507
0.7996 0.6577 0.5992
0.1722 0.7364 0.3444
0.8278 0.2636 0.6556


Computed values of magnetization (unit: μB/f.u.) for the preceding records, in sequence: 0.0 0.0 0.0 0.0.